# 1
The following is a DFT calculation (PBE) of an optimized crystal structure of Sr4Hg2Cl.

- ΔE_f (raw): -670 meV/atom
- E: -1.981 eV/atom
- Density: 4.8 g cm⁻³

a = 9.1434 Å, b = 9.1434 Å, c = 9.1434 Å
α = 143.29°, β = 143.29°, γ = 52.90°
Fractional coordinates of all 7 atoms:
Sr  0.0000  0.5000  0.5000
Sr  0.1975  0.1975  0.0000
Sr  0.5000  0.0000  0.5000
Sr  0.8025  0.8025  0.0000
Hg  0.3921  0.3921  0.0000
Hg  0.6079  0.6079  0.0000
Cl  0.0000  0.0000  0.0000

=====

# 2
The following is a DFT calculation (PBE) of an optimized crystal structure of LiInPb.

- E: -2.876 eV/atom
- Density: 7.1 g cm⁻³

a = 5.7639 Å, b = 5.7639 Å, c = 9.3196 Å
α = 90.00°, β = 90.00°, γ = 90.00°
Fractional coordinates of all 12 atoms:
Li  0.0000  0.2460  0.0000
Li  0.0000  0.7540  0.5000
Li  0.2460  0.0000  0.7500
Li  0.7540  0.0000  0.2500
In  0.2505  0.2505  0.3750
In  0.2505  0.7495  0.1250
In  0.7495  0.2505  0.6250
In  0.7495  0.7495  0.8750
Pb  0.2219  0.5000  0.7500
Pb  0.5000  0.2219  0.0000
Pb  0.5000  0.7781  0.5000
Pb  0.7781  0.5000  0.2500

=====

# 3
The following is a DFT calculation (PBE) of an optimized crystal structure of GaSnAu.

- E: -3.547 eV/atom
- Density: 9.7 g cm⁻³

a = 3.7713 Å, b = 5.9132 Å, c = 6.6451 Å
α = 111.29°, β = 106.13°, γ = 90.47°
Fractional coordinates of all 6 atoms:
Ga  0.0000  0.0000  0.0000
Ga  0.2492  0.5312  0.4994
Sn  0.6717  0.9118  0.3364
Sn  0.9234  0.4655  0.8459
Au  0.3512  0.0181  0.6995
Au  0.5894  0.3820  0.1788

=====

# 4
The following is a DFT calculation (PBE) of an optimized crystal structure of Li5Al2Ga4.

- E: -2.811 eV/atom
- Density: 3.2 g cm⁻³

a = 6.5388 Å, b = 13.5106 Å, c = 4.3396 Å
α = 90.00°, β = 90.00°, γ = 90.00°
Fractional coordinates of all 22 atoms:
Li  0.0000  0.0000  0.0000
Li  0.1138  0.4199  0.0000
Li  0.2255  0.1964  0.0000
Li  0.2745  0.6964  0.0000
Li  0.3862  0.9199  0.0000
Li  0.5000  0.5000  0.0000
Li  0.6138  0.0801  0.0000
Li  0.7255  0.3036  0.0000
Li  0.7745  0.8036  0.0000
Li  0.8862  0.5801  0.0000
Al  0.0322  0.3038  0.5000
Al  0.4678  0.8038  0.5000
Al  0.5322  0.1962  0.5000
Al  0.9678  0.6962  0.5000
Ga  0.0986  0.8731  0.5000
Ga  0.2225  0.5490  0.5000
Ga  0.2775  0.0490  0.5000
Ga  0.4014  0.3731  0.5000
Ga  0.5986  0.6269  0.5000
Ga  0.7225  0.9510  0.5000
Ga  0.7775  0.4510  0.5000
Ga  0.9014  0.1269  0.5000

=====

# 5
The following is a DFT calculation (PBE) of an optimized crystal structure of K2Na3Sr2.

- E: -1.326 eV/atom
- Density: 1.5 g cm⁻³

a = 18.1482 Å, b = 18.1482 Å, c = 4.4501 Å
α = 90.00°, β = 90.00°, γ = 165.57°
Fractional coordinates of all 7 atoms:
K  0.1961  0.8039  0.0000
K  0.8039  0.1961  0.0000
Na  0.3749  0.6251  0.5000
Na  0.5000  0.5000  0.5000
Na  0.6251  0.3749  0.5000
Sr  0.0615  0.9385  0.0000
Sr  0.9385  0.0615  0.0000

=====

# 6
The following is a DFT calculation (PBE) of an optimized crystal structure of KLaNbCr2.

- E: -5.607 eV/atom
- Density: 5.2 g cm⁻³

a = 4.6419 Å, b = 4.6419 Å, c = 5.6067 Å
α = 90.00°, β = 90.00°, γ = 90.00°
Fractional coordinates of all 5 atoms:
K  0.0000  0.0000  0.0000
La  0.5000  0.5000  0.0000
Nb  0.0000  0.0000  0.5000
Cr  0.0000  0.5000  0.5000
Cr  0.5000  0.0000  0.5000

=====

# 7
The following is a DFT calculation (PBE) of an optimized crystal structure of Tb3Dy6Y2Er.

- E: -4.899 eV/atom
- Density: 7.9 g cm⁻³

a = 6.1443 Å, b = 6.1443 Å, c = 11.7608 Å
α = 94.97°, β = 94.97°, γ = 119.95°
Fractional coordinates of all 12 atoms:
Tb  0.0000  0.0000  0.0000
Tb  0.3333  0.6667  0.0000
Tb  0.6667  0.3333  0.0000
Dy  0.0837  0.4161  0.2502
Dy  0.2514  0.2514  0.7499
Dy  0.4161  0.0837  0.2502
Dy  0.5839  0.9163  0.7498
Dy  0.7486  0.7486  0.2501
Dy  0.9163  0.5839  0.7498
Y  0.1667  0.8333  0.5000
Y  0.8333  0.1667  0.5000
Er  0.5000  0.5000  0.5000

=====

# 8
The following is a DFT calculation (PBE) of an optimized crystal structure of Sm7Dy6.

- E: -4.410 eV/atom
- Density: 7.7 g cm⁻³

a = 12.1647 Å, b = 12.1647 Å, c = 12.1647 Å
α = 31.51°, β = 31.51°, γ = 31.51°
Fractional coordinates of all 13 atoms:
Sm  0.0000  0.0000  0.0000
Sm  0.0932  0.0932  0.5778
Sm  0.0932  0.5778  0.0932
Sm  0.4222  0.9068  0.9068
Sm  0.5778  0.0932  0.0932
Sm  0.9068  0.4222  0.9068
Sm  0.9068  0.9068  0.4222
Dy  0.1657  0.1657  0.1657
Dy  0.3526  0.3526  0.3526
Dy  0.4544  0.4544  0.4544
Dy  0.5456  0.5456  0.5456
Dy  0.6474  0.6474  0.6474
Dy  0.8343  0.8343  0.8343